The following is a DFT calculation (meta-GGA SCAN) of TcAg2Te at its PBEsol-relaxed geometry.

raw formation energy = 552 meV per atom
VASP energy = -33.209 eV/atom

a = 4.609 Å, b = 4.609 Å, c = 4.609 Å
α = 60.00°, β = 60.00°, γ = 60.00°
Fractional coordinates of all 4 atoms:
Ag 0.000 0.000 0.000
Ag 0.750 0.750 0.750
Te 0.250 0.250 0.250
Tc 0.500 0.500 0.500

---

The following is a DFT calculation (meta-GGA SCAN) of TcAgTe2 at its PBEsol-relaxed geometry.

raw formation energy = 542 meV per atom
VASP energy = -34.690 eV/atom

a = 3.081 Å, b = 3.081 Å, c = 9.893 Å
α = 90.00°, β = 90.00°, γ = 115.93°
Fractional coordinates of all 4 atoms:
Tc 0.500 0.500 0.000
Te 0.000 0.000 0.784
Te 0.000 0.000 0.216
Ag 0.500 0.500 0.500

---

The following is a DFT calculation (meta-GGA SCAN) of Tm2TcAg at its PBEsol-relaxed geometry.

VASP energy = -42.768 eV/atom
DFT formation energy = -0.245 eV per atom

a = 4.817 Å, b = 4.817 Å, c = 4.817 Å
α = 60.00°, β = 60.00°, γ = 60.00°
Fractional coordinates of all 4 atoms:
Tc 0.500 0.500 0.500
Tm 0.750 0.750 0.750
Tm 0.250 0.250 0.250
Ag 0.000 0.000 0.000